Record 1
5
Lattice="4.904 0.000 0.000 0.000 4.904 0.000 0.000 0.000 4.904" Properties=species:S:1:pos:R:3 comment="CuHg3Ru, optimized geometry, DFT PBE" n_ef_per_ev_cell=1.95 total_energy_ev_per_atom=-1.86 polymorph_energy_mev_per_atom=47 ef_ev_per_fu=4.97 spacegroup="Pm-3m (221)" pbc="T T T"
Ru 2.452 2.452 2.452
Hg 0.000 2.452 0.000
Hg 0.000 0.000 2.452
Hg 2.452 0.000 0.000
Cu 0.000 0.000 0.000

***

Record 2
7
Lattice="5.127 0.000 0.000 -2.563 5.687 0.268 0.000 -1.548 7.958" Properties=species:S:1:pos:R:3 comment="AcSm2Dy2Tm2, optimized geometry, DFT PBE" n_ef_per_ev_cell=10.61 total_energy_ev_per_atom=-4.48 ef_ev_per_fu=0.31 spacegroup="C2/m (12)" pbc="T T T"
Ac 0.000 0.000 0.000
Sm 2.563 -0.252 5.682
Sm 0.000 4.391 2.544
Dy 2.563 2.208 1.320
Dy 0.000 1.931 6.906
Tm 0.000 0.954 3.534
Tm 2.563 3.185 4.692

***

Record 3
15
Lattice="-3.087 -7.535 4.705 8.318 3.812 2.165 -7.983 4.609 2.143" Properties=species:S:1:pos:R:3 comment="Sr3Ac3PrTe8, optimized geometry, DFT PBE" n_ef_per_ev_cell=5.55 total_energy_ev_per_atom=-4.75 formation_energy_uncorrected_ev_per_atom=-1.59 spacegroup="R-3m (166)" pbc="T T T"
Sr 0.000 0.000 0.000
Sr 4.159 1.906 1.082
Sr 2.615 -1.861 3.435
Ac -5.535 -1.463 3.424
Ac -1.376 0.443 4.506
Ac 0.168 4.211 2.154
Pr -3.991 2.304 1.072
Te 1.404 1.158 2.776
Te -4.156 -0.272 6.237
Te -0.121 -2.567 5.209
Te -2.631 3.453 3.804
Te 3.942 -0.703 6.268
Te -6.694 1.590 2.745
Te 5.521 3.151 3.862
Te -8.273 -2.264 5.151

***

Record 4
4
Lattice="6.104 0.001 -0.007 3.251 5.167 0.007 -4.292 -3.281 2.841" Properties=species:S:1:pos:R:3 comment="ScTl2Cu, optimized geometry, DFT PBE" n_ef_per_ev_cell=2.19 total_energy_ev_per_atom=-3.77 polymorph_energy_mev_per_atom=42 ef_ev_per_fu=0.08 spacegroup="Imm2 (44)" pbc="T T T"
Cu 4.722 2.608 0.000
Sc 2.841 -0.571 1.417
Tl 0.022 0.012 0.000
Tl 2.156 2.421 1.424